No. 1
# BePH6CBr3 | Alexandria via LeMat-Bulk | PBE-GGA | optimized geometry
# E ... -4.07 eV/atom
# V ... 18.004 A^3/atom
data_BePH6CBr3
_space_group_name_H-M_alt 'P 1'
_space_group_IT_number 1
_cell_length_a 6.0394
_cell_length_b 8.3717
_cell_length_c 17.1177
_cell_angle_alpha 93.09
_cell_angle_beta 90.10
_cell_angle_gamma 90.06
loop_
_space_group_symop_operation_xyz
'x,y,z'
loop_
_atom_site_label
_atom_site_fract_x
_atom_site_fract_y
_atom_site_fract_z
Be1 0.0000 0.0000 0.0000
Be2 0.0533 0.3925 0.6349
Be3 0.4880 0.8901 0.1347
Be4 0.5408 0.5042 0.5005
P1 0.1966 0.4020 0.1662
P2 0.3438 0.9054 0.6666
P3 0.7345 0.3622 0.8563
P4 0.8094 0.8635 0.3565
H1 0.0289 0.4861 0.2875
H2 0.0329 0.2841 0.1516
H3 0.0421 0.9480 0.4636
H4 0.1412 0.8397 0.6407
H5 0.1472 0.5314 0.1197
H6 0.2452 0.0815 0.7752
H7 0.2583 0.8778 0.8014
H8 0.2758 0.3721 0.3013
H9 0.2986 0.5757 0.2754
H10 0.3936 0.0346 0.6201
H11 0.3995 0.3370 0.1407
H12 0.5031 0.4394 0.9644
H13 0.5076 0.7878 0.6525
H14 0.5105 0.9865 0.7888
H15 0.5674 0.3843 0.7998
H16 0.6076 0.9123 0.3229
H17 0.6655 0.6048 0.9324
H18 0.7497 0.1966 0.8683
H19 0.7536 0.9593 0.4887
H20 0.7920 0.4548 0.9888
H21 0.7957 0.6982 0.3698
H22 0.8737 0.1093 0.4308
H23 0.9355 0.4136 0.8232
H24 0.9758 0.8846 0.2999
C1 0.2000 0.4660 0.2678
C2 0.3394 0.9698 0.7682
C3 0.6665 0.4771 0.9444
C4 0.8770 0.9821 0.4437
Br1 0.1646 0.2241 0.9785
Br2 0.2203 0.5207 0.7319
Br3 0.2439 0.8174 0.0398
Br4 0.2964 0.3213 0.5399
Br5 0.3227 0.0191 0.2315
Br6 0.3773 0.7283 0.4788
Br7 0.6532 0.6745 0.1680
Br8 0.6993 0.3998 0.3977
Br9 0.7400 0.0672 0.0922
Br10 0.8014 0.5706 0.5930
Br11 0.8410 0.8956 0.8970
Br12 0.8875 0.1766 0.6676



No. 2
# Li4AuCl | Alexandria via LeMat-Bulk | PBE-GGA | optimized geometry
# E ... -2.34 eV/atom
# V ... 18.502 A^3/atom
# Formation energy (no corrections) ... -0.208 eV/atom
data_Li4AuCl
_space_group_name_H-M_alt 'P 1'
_space_group_IT_number 1
_cell_length_a 5.3946
_cell_length_b 5.3946
_cell_length_c 5.3946
_cell_angle_alpha 60.00
_cell_angle_beta 60.00
_cell_angle_gamma 60.00
loop_
_space_group_symop_operation_xyz
'x,y,z'
loop_
_atom_site_label
_atom_site_fract_x
_atom_site_fract_y
_atom_site_fract_z
Li1 0.1248 0.1248 0.1248
Li2 0.1248 0.1248 0.6255
Li3 0.1248 0.6255 0.1248
Li4 0.6255 0.1248 0.1248
Au1 0.7500 0.7500 0.7500
Cl1 0.5000 0.5000 0.5000



No. 3
# AcSm2Zn3 | Alexandria via LeMat-Bulk | PBE-GGA | optimized geometry
# ΔE_f ... -278 meV per atom
# E ... -3.17 eV/atom
# V ... 25.972 A^3/atom
data_AcSm2Zn3
_space_group_name_H-M_alt 'P 1'
_space_group_IT_number 1
_cell_length_a 3.7329
_cell_length_b 3.7329
_cell_length_c 11.1830
_cell_angle_alpha 90.00
_cell_angle_beta 90.00
_cell_angle_gamma 90.00
loop_
_space_group_symop_operation_xyz
'x,y,z'
loop_
_atom_site_label
_atom_site_fract_x
_atom_site_fract_y
_atom_site_fract_z
Ac1 0.0000 0.0000 0.0000
Sm1 0.0000 0.0000 0.3415
Sm2 0.0000 0.0000 0.6585
Zn1 0.5000 0.5000 0.1900
Zn2 0.5000 0.5000 0.5000
Zn3 0.5000 0.5000 0.8100



No. 4
# MgRe2P | Alexandria via LeMat-Bulk | PBE-GGA | optimized geometry
# ΔE_f ... 286 meV per atom
# E ... -7.69 eV/atom
# V ... 15.210 A^3/atom
data_MgRe2P
_space_group_name_H-M_alt 'P 1'
_space_group_IT_number 1
_cell_length_a 3.0322
_cell_length_b 4.8335
_cell_length_c 8.3023
_cell_angle_alpha 90.00
_cell_angle_beta 90.00
_cell_angle_gamma 90.00
loop_
_space_group_symop_operation_xyz
'x,y,z'
loop_
_atom_site_label
_atom_site_fract_x
_atom_site_fract_y
_atom_site_fract_z
Mg1 0.0000 0.0000 0.0000
Mg2 0.5000 0.5000 0.0000
Re1 0.0000 0.5000 0.2840
Re2 0.0000 0.5000 0.7160
Re3 0.5000 0.0000 0.2840
Re4 0.5000 0.0000 0.7160
P1 0.0000 0.0000 0.5000
P2 0.5000 0.5000 0.5000



No. 5
# Pr2BiSb | Alexandria via LeMat-Bulk | PBE-GGA | optimized geometry
# E ... -5.34 eV/atom
# V ... 32.707 A^3/atom
# Formation energy (no corrections) ... -0.950 eV/atom
data_Pr2BiSb
_space_group_name_H-M_alt 'P 1'
_space_group_IT_number 1
_cell_length_a 4.3471
_cell_length_b 4.9061
_cell_length_c 6.5045
_cell_angle_alpha 90.00
_cell_angle_beta 109.42
_cell_angle_gamma 90.00
loop_
_space_group_symop_operation_xyz
'x,y,z'
loop_
_atom_site_label
_atom_site_fract_x
_atom_site_fract_y
_atom_site_fract_z
Pr1 0.0000 0.0000 0.0000
Pr2 0.2500 0.5000 0.5002
Bi1 0.7358 0.0000 0.4715
Sb1 0.5103 0.5000 0.0208



No. 6
# La2Ce3ErAs6 | Alexandria via LeMat-Bulk | PBE-GGA | optimized geometry
# ΔE_f ... -1478 meV per atom
# E ... -6.49 eV/atom
# V ... 27.155 A^3/atom
data_La2Ce3ErAs6
_space_group_name_H-M_alt 'P 1'
_space_group_IT_number 1
_cell_length_a 7.3619
_cell_length_b 7.3619
_cell_length_c 7.3650
_cell_angle_alpha 99.61
_cell_angle_beta 99.61
_cell_angle_gamma 120.00
loop_
_space_group_symop_operation_xyz
'x,y,z'
loop_
_atom_site_label
_atom_site_fract_x
_atom_site_fract_y
_atom_site_fract_z
La1 0.1659 0.8341 0.0000
La2 0.8341 0.1659 0.0000
Ce1 0.0000 0.0000 0.5000
Ce2 0.3315 0.6685 0.5000
Ce3 0.6685 0.3315 0.5000
Er1 0.5000 0.5000 0.0000
As1 0.0911 0.4156 0.7460
As2 0.2614 0.2614 0.2560
As3 0.4156 0.0911 0.7460
As4 0.5844 0.9089 0.2540
As5 0.7386 0.7386 0.7440
As6 0.9089 0.5844 0.2540



No. 7
# La2PmCu9 | Alexandria via LeMat-Bulk | PBE-GGA | optimized geometry
# ΔE_f ... -137 meV per atom
# E ... -4.43 eV/atom
# V ... 17.013 A^3/atom
data_La2PmCu9
_space_group_name_H-M_alt 'P 1'
_space_group_IT_number 1
_cell_length_a 9.0469
_cell_length_b 9.0469
_cell_length_c 9.0469
_cell_angle_alpha 33.80
_cell_angle_beta 33.80
_cell_angle_gamma 33.80
loop_
_space_group_symop_operation_xyz
'x,y,z'
loop_
_atom_site_label
_atom_site_fract_x
_atom_site_fract_y
_atom_site_fract_z
La1 0.1435 0.1435 0.1435
La2 0.8565 0.8565 0.8565
Pm1 0.0000 0.0000 0.0000
Cu1 0.0864 0.5755 0.5756
Cu2 0.3311 0.3311 0.3311
Cu3 0.4244 0.4244 0.9136
Cu4 0.4244 0.9136 0.4244
Cu5 0.5000 0.5000 0.5000
Cu6 0.5756 0.0864 0.5756
Cu7 0.5756 0.5756 0.0864
Cu8 0.6689 0.6689 0.6689
Cu9 0.9136 0.4244 0.4244



No. 8
# AlSb | Alexandria via LeMat-Bulk | PBE-GGA | optimized geometry
# E ... -3.86 eV/atom
# V ... 23.558 A^3/atom
# Formation energy (no corrections) ... 0.074 eV/atom
data_AlSb
_space_group_name_H-M_alt 'P 1'
_space_group_IT_number 1
_cell_length_a 5.4482
_cell_length_b 5.4482
_cell_length_c 3.1745
_cell_angle_alpha 90.00
_cell_angle_beta 90.00
_cell_angle_gamma 90.00
loop_
_space_group_symop_operation_xyz
'x,y,z'
loop_
_atom_site_label
_atom_site_fract_x
_atom_site_fract_y
_atom_site_fract_z
Al1 0.0000 0.0000 0.0000
Al2 0.5000 0.5000 0.5000
Sb1 0.0000 0.5000 0.2500
Sb2 0.5000 0.0000 0.7500



No. 9
# BeZnMo | Alexandria via LeMat-Bulk | PBE-GGA | optimized geometry
# ΔE_f ... 156 meV per atom
# E ... -5.12 eV/atom
# V ... 12.832 A^3/atom
data_BeZnMo
_space_group_name_H-M_alt 'P 1'
_space_group_IT_number 1
_cell_length_a 3.9477
_cell_length_b 3.9477
_cell_length_c 2.8524
_cell_angle_alpha 90.00
_cell_angle_beta 90.00
_cell_angle_gamma 120.00
loop_
_space_group_symop_operation_xyz
'x,y,z'
loop_
_atom_site_label
_atom_site_fract_x
_atom_site_fract_y
_atom_site_fract_z
Be1 0.0000 0.0000 0.0000
Zn1 0.3333 0.6667 0.0000
Mo1 0.6667 0.3333 0.5000



No. 10
# PmCu2Au9 | Alexandria via LeMat-Bulk | PBE-GGA | optimized geometry
# ΔE_f ... -202 meV per atom
# E ... -3.74 eV/atom
# V ... 18.836 A^3/atom
data_PmCu2Au9
_space_group_name_H-M_alt 'P 1'
_space_group_IT_number 1
_cell_length_a 8.7125
_cell_length_b 8.7125
_cell_length_c 8.7125
_cell_angle_alpha 99.75
_cell_angle_beta 99.75
_cell_angle_gamma 131.41
loop_
_space_group_symop_operation_xyz
'x,y,z'
loop_
_atom_site_label
_atom_site_fract_x
_atom_site_fract_y
_atom_site_fract_z
Pm1 0.3750 0.6250 0.7500
Pm2 0.6250 0.3750 0.2500
Cu1 0.0000 0.0000 0.0000
Cu2 0.0000 0.0000 0.5000
Cu3 0.0000 0.5000 0.0000
Cu4 0.5000 0.0000 0.5000
Au1 0.1216 0.5553 0.3234
Au2 0.1216 0.7982 0.5663
Au3 0.1250 0.8750 0.2500
Au4 0.2018 0.2681 0.3234
Au5 0.2018 0.8784 0.9337
Au6 0.2681 0.2018 0.8234
Au7 0.2681 0.4447 0.0663
Au8 0.4447 0.2681 0.5663
Au9 0.4447 0.8784 0.1766
Au10 0.5553 0.1216 0.8234
Au11 0.5553 0.7319 0.4337
Au12 0.7319 0.5553 0.9337
Au13 0.7319 0.7982 0.1766
Au14 0.7982 0.1216 0.0663
Au15 0.7982 0.7319 0.6766
Au16 0.8750 0.1250 0.7500
Au17 0.8784 0.2018 0.4337
Au18 0.8784 0.4447 0.6766



No. 11
# PaSnPtS | Alexandria via LeMat-Bulk | PBE-GGA | optimized geometry
# E ... -6.79 eV/atom
# V ... 21.235 A^3/atom
# Formation energy (no corrections) ... -0.876 eV/atom
data_PaSnPtS
_space_group_name_H-M_alt 'P 1'
_space_group_IT_number 1
_cell_length_a 4.6282
_cell_length_b 4.6282
_cell_length_c 7.9309
_cell_angle_alpha 90.00
_cell_angle_beta 90.00
_cell_angle_gamma 90.00
loop_
_space_group_symop_operation_xyz
'x,y,z'
loop_
_atom_site_label
_atom_site_fract_x
_atom_site_fract_y
_atom_site_fract_z
Pa1 0.2500 0.2500 0.1757
Pa2 0.7500 0.7500 0.8243
Sn1 0.2500 0.7500 0.5000
Sn2 0.7500 0.2500 0.5000
Pt1 0.2500 0.2500 0.6758
Pt2 0.7500 0.7500 0.3242
S1 0.2500 0.7500 0.0000
S2 0.7500 0.2500 0.0000



No. 12
# K2NaSrH | Alexandria via LeMat-Bulk | PBE-GGA | optimized geometry
# E ... -1.72 eV/atom
# V ... 41.016 A^3/atom
data_K2NaSrH
_space_group_name_H-M_alt 'P 1'
_space_group_IT_number 1
_cell_length_a 6.2993
_cell_length_b 6.2993
_cell_length_c 5.1682
_cell_angle_alpha 90.00
_cell_angle_beta 90.00
_cell_angle_gamma 90.00
loop_
_space_group_symop_operation_xyz
'x,y,z'
loop_
_atom_site_label
_atom_site_fract_x
_atom_site_fract_y
_atom_site_fract_z
K1 0.0000 0.5000 0.0000
K2 0.5000 0.0000 0.0000
Na1 0.0000 0.0000 0.5000
Sr1 0.5000 0.5000 0.5000
H1 0.5000 0.5000 0.0000



V of number 9 (BeZnMo)?
12.832 A^3/atom



The lowest V belongs to which entry?
BeZnMo



Copy entry 12 word for word.
# K2NaSrH | Alexandria via LeMat-Bulk | PBE-GGA | optimized geometry
# E ... -1.72 eV/atom
# V ... 41.016 A^3/atom
data_K2NaSrH
_space_group_name_H-M_alt 'P 1'
_space_group_IT_number 1
_cell_length_a 6.2993
_cell_length_b 6.2993
_cell_length_c 5.1682
_cell_angle_alpha 90.00
_cell_angle_beta 90.00
_cell_angle_gamma 90.00
loop_
_space_group_symop_operation_xyz
'x,y,z'
loop_
_atom_site_label
_atom_site_fract_x
_atom_site_fract_y
_atom_site_fract_z
K1 0.0000 0.5000 0.0000
K2 0.5000 0.0000 0.0000
Na1 0.0000 0.0000 0.5000
Sr1 0.5000 0.5000 0.5000
H1 0.5000 0.5000 0.0000



What is the E in the fourth record?
-7.69 eV/atom